Entry 1:
# PBE Ac6Pt3Rh2Br, relaxed
data_Ac6Pt3Rh2Br
_cell_length_a 4.3545
_cell_length_b 9.0032
_cell_length_c 9.7773
_cell_angle_alpha 102.03
_cell_angle_beta 102.87
_cell_angle_gamma 90.00
_symmetry_space_group_name_H-M 'P 1'
_symmetry_Int_Tables_number 1
loop_
_symmetry_equiv_pos_as_xyz
'x,y,z'
loop_
_atom_site_label
_atom_site_type_symbol
_atom_site_fract_x
_atom_site_fract_y
_atom_site_fract_z
Ac1 Ac 0.3215 0.9006 0.6431
Ac2 Ac 0.6676 0.5814 0.3352
Ac3 Ac 0.6785 0.0994 0.3569
Ac4 Ac 0.0077 0.2767 0.0154
Ac5 Ac 0.9923 0.7233 0.9846
Ac6 Ac 0.3324 0.4186 0.6648
Pt1 Pt 0.5000 0.5000 0.0000
Pt2 Pt 0.8413 0.1633 0.6826
Pt3 Pt 0.1587 0.8367 0.3174
Rh1 Rh 0.8343 0.6687 0.6686
Rh2 Rh 0.1657 0.3313 0.3314
Br1 Br 0.5000 0.0000 0.0000
# Total DFT energy (no corrections) ... -71.54 eV for the cell shown
# Spin magnetization ... 0.000 μB/f.u.

=====

Entry 2:
# PBE Ac6RuPt2Br2, relaxed
data_Ac6RuPt2Br2
_cell_length_a 7.6781
_cell_length_b 7.6781
_cell_length_c 8.3757
_cell_angle_alpha 98.63
_cell_angle_beta 98.63
_cell_angle_gamma 120.57
_symmetry_space_group_name_H-M 'P 1'
_symmetry_Int_Tables_number 1
loop_
_symmetry_equiv_pos_as_xyz
'x,y,z'
loop_
_atom_site_label
_atom_site_type_symbol
_atom_site_fract_x
_atom_site_fract_y
_atom_site_fract_z
Ac1 Ac 0.7396 0.7396 0.7016
Ac2 Ac 0.0701 0.3890 0.7002
Ac3 Ac 0.2604 0.2604 0.2984
Ac4 Ac 0.3890 0.0701 0.7002
Ac5 Ac 0.9299 0.6110 0.2998
Ac6 Ac 0.6110 0.9299 0.2998
Ru1 Ru 0.0000 0.0000 0.5000
Pt1 Pt 0.3313 0.6687 0.5000
Pt2 Pt 0.6687 0.3313 0.5000
Br1 Br 0.8340 0.1660 0.0000
Br2 Br 0.1660 0.8340 0.0000
# Total DFT energy (no corrections) ... -60.64 eV for the cell shown
# Spin magnetization ... 0.000 μB/f.u.

=====

Entry 3:
# PBE Ac6RuPt2Br3, relaxed
data_Ac6RuPt2Br3
_cell_length_a 4.3952
_cell_length_b 9.6963
_cell_length_c 10.6584
_cell_angle_alpha 110.43
_cell_angle_beta 101.90
_cell_angle_gamma 90.00
_symmetry_space_group_name_H-M 'P 1'
_symmetry_Int_Tables_number 1
loop_
_symmetry_equiv_pos_as_xyz
'x,y,z'
loop_
_atom_site_label
_atom_site_type_symbol
_atom_site_fract_x
_atom_site_fract_y
_atom_site_fract_z
Ac1 Ac 0.3506 0.8936 0.7012
Ac2 Ac 0.6770 0.5539 0.3540
Ac3 Ac 0.6494 0.1064 0.2988
Ac4 Ac 0.0095 0.2122 0.0191
Ac5 Ac 0.9905 0.7878 0.9809
Ac6 Ac 0.3230 0.4461 0.6460
Ru1 Ru 0.5000 0.0000 0.0000
Pt1 Pt 0.8322 0.6649 0.6644
Pt2 Pt 0.1678 0.3351 0.3356
Br1 Br 0.5000 0.5000 0.0000
Br2 Br 0.8351 0.1703 0.6701
Br3 Br 0.1649 0.8297 0.3299
# Total DFT energy (no corrections) ... -65.48 eV for the cell shown
# Spin magnetization ... 0.000 μB/f.u.

=====

Entry 4:
# PBE Ac8Ru3PtBr4, relaxed
data_Ac8Ru3PtBr4
_cell_length_a 8.6614
_cell_length_b 9.6772
_cell_length_c 8.6596
_cell_angle_alpha 116.56
_cell_angle_beta 120.01
_cell_angle_gamma 90.00
_symmetry_space_group_name_H-M 'P 1'
_symmetry_Int_Tables_number 1
loop_
_symmetry_equiv_pos_as_xyz
'x,y,z'
loop_
_atom_site_label
_atom_site_type_symbol
_atom_site_fract_x
_atom_site_fract_y
_atom_site_fract_z
Ac1 Ac 0.2363 0.6946 0.9584
Ac2 Ac 0.2362 0.6947 0.4724
Ac3 Ac 0.2679 0.3039 0.5358
Ac4 Ac 0.7221 0.6946 0.9584
Ac5 Ac 0.2779 0.3054 0.0416
Ac6 Ac 0.7321 0.6961 0.4642
Ac7 Ac 0.7638 0.3053 0.5276
Ac8 Ac 0.7637 0.3054 0.0416
Ru1 Ru 0.5000 0.5000 0.0000
Ru2 Ru 0.5000 0.5000 0.5000
Ru3 Ru 0.0000 0.5000 0.5000
Pt1 Pt 0.0000 0.5000 0.0000
Br1 Br 0.5000 0.0000 0.0000
Br2 Br 0.5000 0.0000 0.5000
Br3 Br 0.0000 0.0000 0.0000
Br4 Br 0.0000 0.0000 0.5000
# Total DFT energy (no corrections) ... -89.19 eV for the cell shown
# Spin magnetization ... 0.000 μB/f.u.